*P*
# VP2SCl

Crystalline VP2SCl at its relaxed geometry (PBE, Alexandria via LeMat-Bulk).

Cell and atoms, written as POSCAR:
```
VP2SCl
1.0
4.6639 0.0000 0.0000
0.0000 4.6639 0.0000
0.0000 0.0000 4.3637
V P S Cl
1 2 1 1
Direct
0.0000 0.0000 0.0000
0.0000 0.5000 0.0000
0.5000 0.0000 0.0000
0.5000 0.5000 0.5000
0.0000 0.0000 0.5000
```

Summary:
theoretical density: 3.156 g/cm³
D(E_F): 4.1 states/eV/cell


*Q*
# VP2SCl

Crystalline VP2SCl at its relaxed geometry (PBE, Alexandria via LeMat-Bulk).

Cell and atoms, written as POSCAR:
```
VP2SCl
1.0
4.4874 0.0000 0.0000
0.0000 4.4874 0.0000
0.0000 0.0000 4.7021
V P S Cl
1 2 1 1
Direct
0.0000 0.0000 0.0000
0.0000 0.5000 0.5000
0.5000 0.0000 0.5000
0.5000 0.5000 0.0000
0.5000 0.5000 0.5000
```

Summary:
theoretical density: 3.164 g/cm³
D(E_F): 4.7 states/eV/cell


Most stable structure, least stable structure: *P*, *Q*.


*P*
# VP2SCl

Crystalline VP2SCl at its relaxed geometry (PBE, Alexandria via LeMat-Bulk).

Cell and atoms, written as POSCAR:
```
VP2SCl
1.0
4.6206 0.0000 0.0000
0.0000 4.6206 0.0000
0.0000 0.0000 4.4036
V P S Cl
1 2 1 1
Direct
0.0000 0.0000 0.0000
0.0000 0.5000 0.0000
0.5000 0.0000 0.0000
0.0000 0.0000 0.5000
0.5000 0.5000 0.5000
```

Summary:
theoretical density: 3.186 g/cm³
D(E_F): 2.9 states/eV/cell


*Q*
# VP2SCl

Crystalline VP2SCl at its relaxed geometry (PBE, Alexandria via LeMat-Bulk).

Cell and atoms, written as POSCAR:
```
VP2SCl
1.0
4.4886 0.0000 0.0000
0.0000 4.4886 0.0000
0.0000 0.0000 4.5928
V P S Cl
1 2 1 1
Direct
0.0000 0.0000 0.0000
0.0000 0.5000 0.5000
0.5000 0.0000 0.5000
0.5000 0.5000 0.5000
0.5000 0.5000 0.0000
```

Summary:
theoretical density: 3.237 g/cm³
D(E_F): 6.0 states/eV/cell


Most stable structure, least stable structure: *P*, *Q*.


*P*
# VPS2Cl

Crystalline VPS2Cl at its relaxed geometry (PBE, Alexandria via LeMat-Bulk).

Cell and atoms, written as POSCAR:
```
VPS2Cl
1.0
4.4161 0.0000 0.0000
0.0000 4.4161 0.0000
0.0000 0.0000 4.9063
V P S Cl
1 1 2 1
Direct
0.0000 0.0000 0.0000
0.0000 0.0000 0.5000
0.0000 0.5000 0.0000
0.5000 0.0000 0.0000
0.5000 0.5000 0.5000
```

Summary:
theoretical density: 3.150 g/cm³
D(E_F): 2.8 states/eV/cell


*Q*
# VPS2Cl

Crystalline VPS2Cl at its relaxed geometry (PBE, Alexandria via LeMat-Bulk).

Cell and atoms, written as POSCAR:
```
VPS2Cl
1.0
4.6408 0.0000 0.0000
0.0000 4.6408 0.0000
0.0000 0.0000 4.6951
V P S Cl
1 1 2 1
Direct
0.0000 0.0000 0.0000
0.5000 0.5000 0.5000
0.0000 0.5000 0.0000
0.5000 0.0000 0.0000
0.0000 0.0000 0.5000
```

Summary:
theoretical density: 2.981 g/cm³
D(E_F): 2.0 states/eV/cell


*R*
# VPS2Cl

Crystalline VPS2Cl at its relaxed geometry (PBE, Alexandria via LeMat-Bulk).

Cell and atoms, written as POSCAR:
```
VPS2Cl
1.0
4.5878 0.0000 0.0000
0.0000 4.5878 0.0000
0.0000 0.0000 4.4681
V P S Cl
1 1 2 1
Direct
0.0000 0.0000 0.0000
0.5000 0.5000 0.0000
0.0000 0.5000 0.5000
0.5000 0.0000 0.5000
0.5000 0.5000 0.5000
```

Summary:
theoretical density: 3.205 g/cm³
D(E_F): 5.6 states/eV/cell


*S*
# VPS2Cl

Crystalline VPS2Cl at its relaxed geometry (PBE, Alexandria via LeMat-Bulk).

Cell and atoms, written as POSCAR:
```
VPS2Cl
1.0
4.6468 0.0000 0.0000
0.0000 4.6468 0.0000
0.0000 0.0000 4.4714
V P S Cl
1 1 2 1
Direct
0.0000 0.0000 0.0000
0.5000 0.5000 0.5000
0.0000 0.5000 0.5000
0.5000 0.0000 0.5000
0.5000 0.5000 0.0000
```

Summary:
theoretical density: 3.122 g/cm³
D(E_F): 4.8 states/eV/cell


Most stable structure, least stable structure: *P*, *R*.